Record 1
Below is crystalline Ac4InBiTe2 at its relaxed geometry, with properties calculated at the PBE level.

Unit cell a=8.3478 b=4.7368 c=8.4302 alpha=90.00 beta=108.86 gamma=90.00
With the nearest neighbours (Å) after each atom.
Space group P2/m (No. 10)
Asymmetric unit:
Ac: 0.2431 0.0000 0.2524 [2 per cell]  1 In 3.35, 2 Bi 3.39, 3 Te 3.42-3.48
Ac: 0.2442 0.5000 0.7458 [2 per cell]  2 In 3.37, 1 Bi 3.40, 3 Te 3.42-3.44
In: 0.0000 0.0000 0.5000 [1 per cell]  6 Ac 3.35-3.37
Bi: 0.0000 0.5000 0.0000 [1 per cell]  6 Ac 3.39-3.40
Te: 0.5000 0.0000 0.0000 [1 per cell]  6 Ac 3.44-3.48
Te: 0.5000 0.5000 0.5000 [1 per cell]  6 Ac 3.42

## Properties
- Density of states at the Fermi level: 3.4 states/eV/cell
- Raw total energy: -4.753 eV per atom
- Raw formation energy: -1.09 eV/atom


Record 2
Below is crystalline ReMo2Cl at its relaxed geometry, with properties calculated at the PBE level.

Unit cell a=3.0077 b=3.9665 c=6.9555 alpha=90.00 beta=90.00 gamma=90.00
With the nearest neighbours (Å) after each atom.
Space group Pmm2 (No. 25)
Asymmetric unit:
Re: 0.0000 0.0000 0.0000 [1 per cell]  1 Mo 2.29
Mo: 0.0000 0.0000 0.6713 [1 per cell]  1 Re 2.29
Mo: 0.5000 0.5000 0.8523 [1 per cell]  1 Cl 2.54, 4 Re 2.69, 4 Mo 2.79
Cl: 0.5000 0.5000 0.2171 [1 per cell]  1 Mo 2.54

## Properties
- Density of states at the Fermi level: 2.6 states/eV/cell
- Raw total energy: -8.338 eV per atom
- Raw formation energy: 0.65 eV/atom
- Energy above the most stable polymorph in this dataset: 412 meV/atom


Record 3
Below is crystalline ReRh2Br at its relaxed geometry, with properties calculated at the PBE level.

Unit cell a=2.8562 b=2.8562 c=7.9770 alpha=90.00 beta=90.00 gamma=90.00
With the nearest neighbours (Å) after each atom.
Space group P4/mmm (No. 123)
Asymmetric unit:
Re: 0.0000 0.0000 0.0000 [1 per cell]  8 Rh 2.68, 4 Re 2.86
Rh: 0.5000 0.5000 0.2215 [2 per cell]  4 Re 2.68, 4 Rh 2.86, 4 Br 3.00
Br: 0.0000 0.0000 0.5000 [1 per cell]  4 Br 2.86, 8 Rh 3.00

## Properties
- Density of states at the Fermi level: 4.0 states/eV/cell
- Raw total energy: -6.900 eV per atom
- Raw formation energy: 0.31 eV/atom
- Energy above the most stable polymorph in this dataset: 0 meV/atom


Record 4
Below is crystalline Pu2AsH3 at its relaxed geometry, with properties calculated at the PBE level.

Unit cell a=11.2574 b=3.8282 c=8.5478 alpha=90.00 beta=118.50 gamma=90.00
With the nearest neighbours (Å) after each atom.
Space group C2/m (No. 12)
Asymmetric unit:
Pu: 0.0591 0.0000 0.3630 [4 per cell]  4 H 2.13-2.34
Pu: 0.1528 0.5000 0.0621 [4 per cell]  7 H 2.22-2.36
As: 0.1699 0.5000 0.6631 [4 per cell]  1 H 2.62
H: 0.0427 0.5000 0.2196 [4 per cell]  2 H 2.17, 4 Pu 2.22-2.36
H: 0.0694 0.0000 0.1204 [4 per cell]  1 H 1.90
H: 0.1401 0.0000 0.9088 [4 per cell]  4 Pu 2.22-2.34, 2 H 2.25-2.30

## Properties
- Density of states at the Fermi level: 58.2 states/eV/cell
- Raw total energy: -7.769 eV per atom


Record 5
Below is crystalline Si2SeI at its relaxed geometry, with properties calculated at the PBE level.

Unit cell a=6.6065 b=6.6065 c=12.6090 alpha=90.00 beta=90.00 gamma=90.00
With the nearest neighbours (Å) after each atom.
Space group I-42d (No. 122)
Asymmetric unit:
Si: 0.1890 0.2500 0.1250 [8 per cell]  2 Se 2.60
Se: 0.0000 0.0000 0.0000 [4 per cell]  4 Si 2.60
I: 0.0000 0.0000 0.5000 [4 per cell]  4 Si 3.07

## Properties
- Density of states at the Fermi level: 8.7 states/eV/cell
- Raw total energy: -3.345 eV per atom
- Raw formation energy: 0.63 eV/atom
- Energy above the most stable polymorph in this dataset: 0 meV/atom


Record 6
Below is crystalline CoW3 at its relaxed geometry, with properties calculated at the PBE level.

Unit cell a=6.1515 b=7.7293 c=5.0817 alpha=90.00 beta=90.00 gamma=90.00
With the nearest neighbours (Å) after each atom.
Space group Pnma (No. 62)
Asymmetric unit:
Co: 0.0966 0.2500 0.0870 [4 per cell]  8 W 2.41-2.62
W: 0.0273 0.7500 0.3797 [4 per cell]  2 Co 2.49-2.54
W: 0.2007 0.5489 0.8766 [8 per cell]  3 Co 2.41-2.62

## Properties
- Density of states at the Fermi level: 17.9 states/eV/cell
- Raw total energy: -11.182 eV per atom
- Energy above the most stable polymorph in this dataset: 225 meV/atom


Record 7
Below is crystalline Tm4GaIr4 at its relaxed geometry, with properties calculated at the PBE level.

Unit cell a=7.8355 b=5.4711 c=10.6527 alpha=90.00 beta=122.45 gamma=90.00
With the nearest neighbours (Å) after each atom.
Space group P2/c (No. 13)
Asymmetric unit:
Tm: 0.1837 0.1160 0.1892 [4 per cell]  4 Ir 2.79-3.10
Tm: 0.2517 0.3810 0.9121 [4 per cell]  6 Ir 2.82-3.09
Ga: 0.5000 0.3540 0.7500 [2 per cell]  4 Ir 2.41-2.59
Ir: 0.1358 0.3733 0.6043 [4 per cell]  1 Ga 2.41, 1 Ir 2.51
Ir: 0.3558 0.1091 0.5053 [4 per cell]  1 Ga 2.59, 2 Ir 2.61-2.85, 2 Tm 2.82-2.88

## Properties
- Density of states at the Fermi level: 9.7 states/eV/cell
- Raw total energy: -7.015 eV per atom


Record 8
Below is crystalline Sm2H3Se at its relaxed geometry, with properties calculated at the PBE level.

Unit cell a=3.8954 b=3.8954 c=6.7240 alpha=90.00 beta=90.00 gamma=120.00
With the nearest neighbours (Å) after each atom.
Space group P-3m1 (No. 164)
Asymmetric unit:
Sm: 0.3333 0.6667 0.2779 [2 per cell]  4 H 2.33-2.36
H: 0.0000 0.0000 0.5000 [1 per cell]  6 H 2.41, 6 Sm 2.70
H: 0.3333 0.6667 0.6293 [2 per cell]  4 Sm 2.33-2.36, 3 H 2.41
Se: 0.0000 0.0000 0.0000 [1 per cell]  6 Sm 2.92

## Properties
- Density of states at the Fermi level: 1.7 states/eV/cell
- Raw total energy: -4.789 eV per atom


Record 9
Below is crystalline MgZr2Pb at its relaxed geometry, with properties calculated at the PBE level.

Unit cell a=4.4180 b=4.4180 c=4.6186 alpha=90.00 beta=90.00 gamma=90.00
With the nearest neighbours (Å) after each atom.
Space group P4/mmm (No. 123)
Asymmetric unit:
Mg: 0.0000 0.0000 0.0000 [1 per cell]  4 Pb 3.12, 8 Zr 3.20
Zr: 0.0000 0.5000 0.5000 [2 per cell]  4 Zr 3.12, 4 Pb 3.20, 4 Mg 3.20
Pb: 0.5000 0.5000 0.0000 [1 per cell]  4 Mg 3.12, 8 Zr 3.20

## Properties
- Density of states at the Fermi level: 2.7 states/eV/cell
- Raw total energy: -5.734 eV per atom


Record 10
Below is crystalline Ac4Tl3Ag at its relaxed geometry, with properties calculated at the PBE level.

Unit cell a=3.9446 b=3.9446 c=17.5314 alpha=90.00 beta=90.00 gamma=90.00
With the nearest neighbours (Å) after each atom.
Space group P4/mmm (No. 123)
Asymmetric unit:
Ac: 0.0000 0.0000 0.1139 [2 per cell]  4 Ag 3.43, 4 Tl 3.56
Ac: 0.0000 0.0000 0.3702 [2 per cell]  8 Tl 3.60-3.61, 4 Ac 3.94
Tl: 0.5000 0.5000 0.2399 [2 per cell]  8 Ac 3.56-3.61, 4 Tl 3.94
Tl: 0.5000 0.5000 0.5000 [1 per cell]  8 Ac 3.60, 4 Tl 3.94
Ag: 0.5000 0.5000 0.0000 [1 per cell]  8 Ac 3.43

## Properties
- Density of states at the Fermi level: 8.4 states/eV/cell
- Raw total energy: -3.626 eV per atom
- Energy above the most stable polymorph in this dataset: 0 meV/atom


Record 11
Below is crystalline TeIr2 at its relaxed geometry, with properties calculated at the PBE level.

Unit cell a=5.2298 b=5.2298 c=8.2855 alpha=90.00 beta=90.00 gamma=90.00
With the nearest neighbours (Å) after each atom.
Space group I4/mcm (No. 140)
Asymmetric unit:
Te: 0.0000 0.0000 0.2500 [4 per cell]  8 Ir 2.83
Ir: 0.1782 0.3218 0.0000 [8 per cell]  5 Ir 2.64-2.72, 4 Te 2.83

## Properties
- Density of states at the Fermi level: 12.2 states/eV/cell
- Raw total energy: -6.616 eV per atom
- Raw formation energy: 0.34 eV/atom
- Energy above the most stable polymorph in this dataset: 332 meV/atom


Record 12
Below is crystalline SmDyTiAl at its relaxed geometry, with properties calculated at the PBE level.

Unit cell a=7.3302 b=7.3302 c=7.3302 alpha=90.00 beta=90.00 gamma=90.00
With the nearest neighbours (Å) after each atom.
Space group F-43m (No. 216)
Asymmetric unit:
Sm: 0.0000 0.0000 0.0000 [4 per cell]  4 Al 3.17, 4 Ti 3.17
Dy: 0.0000 0.0000 0.5000 [4 per cell]  4 Al 3.17, 4 Ti 3.17
Ti: 0.2500 0.2500 0.7500 [4 per cell]  4 Dy 3.17, 4 Sm 3.17
Al: 0.2500 0.2500 0.2500 [4 per cell]  4 Dy 3.17, 4 Sm 3.17

## Properties
- Density of states at the Fermi level: 19.6 states/eV/cell
- Raw total energy: -5.270 eV per atom


Record 13
Below is crystalline Pm3Cd2Pd at its relaxed geometry, with properties calculated at the PBE level.

Unit cell a=3.7468 b=3.7468 c=11.2839 alpha=90.00 beta=90.00 gamma=90.00
With the nearest neighbours (Å) after each atom.
Space group P4/mmm (No. 123)
Asymmetric unit:
Pm: 0.0000 0.0000 0.0000 [1 per cell]  8 Cd 3.28
Pm: 0.0000 0.0000 0.3500 [2 per cell]  4 Pd 3.14, 4 Cd 3.33, 1 Pm 3.39
Cd: 0.5000 0.5000 0.1712 [2 per cell]  8 Pm 3.28-3.33
Pd: 0.5000 0.5000 0.5000 [1 per cell]  8 Pm 3.14

## Properties
- Density of states at the Fermi level: 5.3 states/eV/cell
- Raw total energy: -4.016 eV per atom
- Energy above the most stable polymorph in this dataset: 0 meV/atom


Record 14
Below is crystalline La3Zn4Rh4 at its relaxed geometry, with properties calculated at the PBE level.

Unit cell a=4.1830 b=7.3283 c=14.3011 alpha=90.00 beta=90.00 gamma=90.00
With the nearest neighbours (Å) after each atom.
Space group Immm (No. 71)
Asymmetric unit:
La: 0.0000 0.0000 0.0000 [2 per cell]  6 Rh 3.06-3.20
La: 0.0000 0.5000 0.1242 [4 per cell]  6 Rh 3.01-3.09, 6 Zn 3.19-3.21
Zn: 0.0000 0.3139 0.3272 [8 per cell]  4 Rh 2.60-2.73, 1 Zn 2.73
Rh: 0.0000 0.0000 0.2241 [4 per cell]  6 Zn 2.60-2.73
Rh: 0.0000 0.1949 0.5000 [4 per cell]  2 Zn 2.62, 1 Rh 2.86

## Properties
- Density of states at the Fermi level: 10.8 states/eV/cell
- Raw total energy: -5.092 eV per atom
- Energy above the most stable polymorph in this dataset: 0 meV/atom


Record 15
Below is crystalline PmErHgRu at its relaxed geometry, with properties calculated at the PBE level.

Unit cell a=3.5009 b=3.5009 c=7.6129 alpha=90.00 beta=90.00 gamma=90.00
With the nearest neighbours (Å) after each atom.
Space group P4mm (No. 99)
Asymmetric unit:
Pm: 0.0000 0.0000 0.0000 [1 per cell]  4 Ru 3.04, 4 Hg 3.34, 1 Er 3.35
Er: 0.0000 0.0000 0.5599 [1 per cell]  4 Ru 2.94, 4 Hg 3.19
Hg: 0.5000 0.5000 0.2953 [1 per cell]  4 Er 3.19, 4 Pm 3.34, 4 Hg 3.50
Ru: 0.5000 0.5000 0.7687 [1 per cell]  4 Er 2.94, 4 Pm 3.04

## Properties
- Density of states at the Fermi level: 3.1 states/eV/cell
- Raw total energy: -5.156 eV per atom
- Energy above the most stable polymorph in this dataset: 0 meV/atom


Record 16
Below is crystalline Tb8Ho4Tm3 at its relaxed geometry, with properties calculated at the PBE level.

Unit cell a=6.8767 b=6.8767 c=35.0208 alpha=90.00 beta=90.00 gamma=120.00
With the nearest neighbours (Å) after each atom.
Space group R-3m (No. 166, hexagonal axes)
Asymmetric unit:
Tb: 0.0000 0.0000 0.2449 [6 per cell]  1 Ho 3.20, 3 Tm 3.38, 6 Tb 3.44
Tb: 0.0017 0.5008 0.7506 [18 per cell]  6 Tb 3.42-3.46, 3 Ho 3.47-3.54, 2 Tm 3.51
Ho: 0.0000 0.0000 0.0000 [3 per cell]  6 Tb 3.54
Ho: 0.0000 0.0000 0.3361 [6 per cell]  4 Tb 3.20-3.47
Ho: 0.0000 0.0000 0.5000 [3 per cell]  6 Tm 3.44, 6 Tb 3.52
Tm: 0.0000 0.5000 0.5000 [9 per cell]  6 Tb 3.38-3.51, 4 Tm 3.44, 2 Ho 3.44

## Properties
- Density of states at the Fermi level: 69.3 states/eV/cell
- Raw total energy: -4.435 eV per atom
- Energy above the most stable polymorph in this dataset: 0 meV/atom


Record 17
Below is crystalline Mn2AgPb at its relaxed geometry, with properties calculated at the PBE level.

Unit cell a=3.1931 b=3.1931 c=26.9970 alpha=90.00 beta=90.00 gamma=120.00
With the nearest neighbours (Å) after each atom.
Space group R-3m (No. 166, hexagonal axes)
Asymmetric unit:
Mn: 0.0000 0.0000 0.2446 [6 per cell]  3 Ag 2.80, 3 Pb 3.02
Ag: 0.0000 0.0000 0.5000 [3 per cell]  6 Mn 2.80
Pb: 0.0000 0.0000 0.0000 [3 per cell]  6 Mn 3.02, 6 Pb 3.19

## Properties
- Density of states at the Fermi level: 7.1 states/eV/cell
- Raw total energy: -5.707 eV per atom